# 1
Fe3IrRh: optimized geometry, PBE-GGA.

The structure in POSCAR format:
```
Fe3IrRh
1.0
-2.5937 -0.1223 -3.7664
-3.5841 -1.3323 2.5115
-1.1641 4.3747 0.6596
Ir Fe Rh
1 3 1
Cartesian
0.0000 0.0000 0.0000
-1.7921 -0.6662 1.2557
-1.2969 -0.0612 -1.8832
-0.5820 2.1874 0.3298
-3.6710 1.4601 -0.2977
```

Results
- final energy (eV/cell) = -34.6
- E above lowest polymorph (eV per formula unit) = 7.11
- calculated formation energy (eV per atom) = 1.41


# 2
Mn2ReSi: optimized geometry, PBE-GGA.

The structure in POSCAR format:
```
Mn2ReSi
1.0
5.8176 -0.0007 0.0046
-2.2830 3.8391 0.0116
1.2542 0.7404 2.2786
Re Mn Si
1 2 1
Cartesian
-0.5144 2.2897 1.1451
0.0000 0.0000 0.0000
3.5359 0.3698 1.1416
1.7673 1.9192 0.0081
```

Results
- final energy (eV/cell) = -36.6
- ΔE_f (raw) (meV/atom) = -88


# 3
CsSr2I2: optimized geometry, PBE-GGA.

The structure in POSCAR format:
```
CsSr2I2
1.0
-3.3151 3.9056 -3.2289
1.7697 -2.7233 -5.1109
-6.6513 -4.0409 -3.7373
Sr I Cs
2 2 1
Cartesian
-2.3511 -0.6526 -4.0538
-5.8455 -2.2060 -8.0234
-2.8271 -3.0865 -6.5091
-5.3695 0.2279 -5.5681
0.0000 0.0000 0.0000
```

Results
- final energy (eV/cell) = -11.8
- ΔE_f (raw) (meV/atom) = -889


| no. | M_tot (μB/f.u.) |
| --- | --- |
| 1 | 11.09 |
| 2 | 3.46 |
| 3 | 0.00 |